[1]
RbBa2Os2 | GGA-PBE | relaxed

Structure (POSCAR):
```
RbBa2Os2
1.0
3.684 0.000 0.000
0.000 3.684 0.000
1.842 1.842 13.949
Os Ba Rb
2 2 1
direct
0.250 0.750 0.500
0.750 0.250 0.500
0.349 0.349 0.303
0.651 0.651 0.697
0.000 0.000 0.000
```

The space group is I4/mmm, No. 139. The formation enthalpy at 0 K is 629 meV per atom. The calculation puts the polymorph energy (0 for the lowest one) at 0.0 meV/atom.


[2]
CaLa2P | GGA-PBE | relaxed

Structure (POSCAR):
```
CaLa2P
1.0
3.691 0.037 0.000
-0.041 3.691 0.000
0.000 0.000 9.245
P La Ca
1 2 1
direct
0.000 0.000 0.492
0.500 0.500 0.327
0.000 0.000 0.008
0.500 0.500 0.673
```

The space group is P4mm, No. 99. The formation enthalpy at 0 K is -514 meV per atom.


[3]
AlGaBi | GGA-PBE | relaxed

Structure (POSCAR):
```
AlGaBi
1.0
4.610 0.000 0.026
0.000 3.180 0.000
-1.787 0.000 10.281
Ga Al Bi
2 2 2
direct
0.740 0.000 0.771
0.995 0.000 0.535
0.449 0.000 0.362
0.489 0.500 0.575
0.883 0.000 0.195
0.299 0.000 0.937
```

The space group is Pm, No. 6. The formation enthalpy at 0 K is 122 meV per atom. The calculation puts the polymorph energy (0 for the lowest one) at 23.0 meV/atom.


[4]
Pu2AlZnGa6 | GGA-PBE | relaxed

Structure (POSCAR):
```
Pu2AlZnGa6
1.0
-3.911 3.512 -3.582
-5.859 1.351 2.074
0.822 11.411 4.643
Ga Zn Pu Al
12 2 4 2
direct
0.662 0.229 0.881
0.664 0.664 0.617
0.338 0.771 0.119
0.056 0.664 0.617
0.336 0.336 0.383
0.229 0.229 0.881
0.944 0.336 0.383
0.229 0.662 0.881
0.771 0.771 0.119
0.771 0.338 0.119
0.664 0.056 0.617
0.336 0.944 0.383
0.429 0.429 0.713
0.571 0.571 0.287
0.708 0.708 0.875
0.116 0.116 0.651
0.292 0.292 0.125
0.884 0.884 0.349
0.500 0.500 0.500
0.000 0.000 0.000
```

The space group is R-3m, No. 166. The formation enthalpy at 0 K is -61 meV per atom.


[5]
Sc3SbC | GGA-PBE | relaxed

Structure (POSCAR):
```
Sc3SbC
1.0
-0.495 3.585 1.838
-1.999 -3.265 1.349
11.701 -3.247 9.485
Sc Sb C
6 2 2
direct
0.333 0.667 0.607
0.000 0.000 0.750
0.000 0.000 0.250
0.667 0.333 0.393
0.333 0.667 0.893
0.667 0.333 0.107
0.000 0.000 0.000
0.000 0.000 0.500
0.333 0.667 0.750
0.667 0.333 0.250
```

The space group is P6_3/mmc, No. 194. Its raw formation energy is -2.0 eV per formula unit.


[6]
Na2TlCdH | GGA-PBE | relaxed

Structure (POSCAR):
```
Na2TlCdH
1.0
4.694 0.000 0.000
0.000 4.694 0.000
0.000 0.000 5.086
Tl Cd Na H
1 1 2 1
direct
0.000 0.000 0.500
0.500 0.500 0.500
0.500 0.000 0.000
0.000 0.500 0.000
0.000 0.000 0.000
```

The space group is P4/mmm, No. 123. The calculation puts the polymorph energy (0 for the lowest one) at 0.0 meV/atom.


Number 1: electronic total energy -4.83 eV/atom. Number 2: electronic total energy -4.83 eV/atom. Number 3: electronic total energy -3.43 eV/atom. Number 4: electronic total energy -5.24 eV/atom. Number 5: electronic total energy -6.87 eV/atom. Number 6: electronic total energy -1.86 eV/atom.